Entry 1:
DFT (PBE-GGA) results for MgSiIr2 after structural relaxation.

The structure in POSCAR format:
```
MgSiIr2
1.0
4.5409 0.0000 0.0000
-2.2705 3.9326 0.0000
0.0000 0.0000 7.2568
Mg Si Ir
2 2 4
direct
0.0000 0.0000 0.0000
0.0000 0.0000 0.5000
0.3333 0.6667 0.2500
0.6667 0.3333 0.7500
0.3333 0.6667 0.5739
0.3333 0.6667 0.9261
0.6667 0.3333 0.0739
0.6667 0.3333 0.4261
```

Values from the calculation:
For the total energy, the calculation gives -50.098 eV/cell. The symmetry is P6_3/mmc, No. 194.

=====

Entry 2:
DFT (PBE-GGA) results for AcTcPb after structural relaxation.

The structure in POSCAR format:
```
AcTcPb
1.0
7.1667 0.0000 0.0000
0.0000 7.1667 0.0000
0.0000 0.0000 7.1667
Ac Tc Pb
4 4 4
direct
0.0000 0.0000 0.0000
0.0000 0.5000 0.5000
0.5000 0.0000 0.5000
0.5000 0.5000 0.0000
0.0000 0.0000 0.5000
0.0000 0.5000 0.0000
0.5000 0.0000 0.0000
0.5000 0.5000 0.5000
0.2500 0.2500 0.2500
0.2500 0.7500 0.7500
0.7500 0.2500 0.7500
0.7500 0.7500 0.2500
```

Values from the calculation:
For the total energy, the calculation gives -63.545 eV/cell. The symmetry is F-43m, No. 216.

=====

Entry 3:
DFT (PBE-GGA) results for Zr4Sc2Ge3N3 after structural relaxation.

The structure in POSCAR format:
```
Zr4Sc2Ge3N3
1.0
4.8922 -2.8274 0.0000
4.8922 2.8274 0.0000
-3.2573 0.0000 13.6577
Zr Sc Ge N
8 4 6 6
direct
0.0303 0.1984 0.0928
0.1367 0.3026 0.4072
0.1984 0.0303 0.5928
0.3026 0.1367 0.9072
0.6974 0.8633 0.0928
0.8016 0.9697 0.4072
0.8633 0.6974 0.5928
0.9697 0.8016 0.9072
0.3644 0.5301 0.0900
0.4699 0.6356 0.4100
0.5301 0.3644 0.5900
0.6356 0.4699 0.9100
0.0928 0.9072 0.2500
0.2616 0.4190 0.7498
0.4190 0.2616 0.2498
0.5810 0.7384 0.7502
0.7384 0.5810 0.2502
0.9072 0.0928 0.7500
0.0000 0.5000 0.0000
0.1707 0.6647 0.5000
0.3353 0.8293 0.0000
0.5000 0.0000 0.5000
0.6647 0.1707 0.0000
0.8293 0.3353 0.5000
```

Values from the calculation:
For the total energy, the calculation gives -200.692 eV/cell. The symmetry is C2/c, No. 15.

=====

Number 1: magnetic moment 0.251 μB/f.u.. Number 2: magnetic moment 0.396 μB/f.u.. Number 3: magnetic moment 0.001 μB/f.u..